1.
DFT (PBE) results for a relaxed structure of AlZnTc.

Structure (CIF):
```
data_AlZnTc
_cell_length_a 4.217
_cell_length_b 4.217
_cell_length_c 4.217
_cell_angle_alpha 60.00
_cell_angle_beta 60.00
_cell_angle_gamma 60.00
_symmetry_space_group_name_H-M 'P 1'
_symmetry_Int_Tables_number 1
loop_
_symmetry_equiv_pos_as_xyz
'x,y,z'
loop_
_atom_site_label
_atom_site_type_symbol
_atom_site_fract_x
_atom_site_fract_y
_atom_site_fract_z
_atom_site_occupancy
Al1 Al 0.000 0.000 0.000 1
Zn1 Zn 0.500 0.500 0.500 1
Tc1 Tc 0.250 0.250 0.250 1
```

Results
ΔE to the lowest computed polymorph	556	meV per atom
calculated total energy	-4.74	eV/atom
energy of formation	0.38	eV/atom

2.
DFT (PBE) results for a relaxed structure of BeBPdAu.

Structure (CIF):
```
data_BeBPdAu
_cell_length_a 4.119
_cell_length_b 4.119
_cell_length_c 4.088
_cell_angle_alpha 90.01
_cell_angle_beta 90.01
_cell_angle_gamma 52.17
_symmetry_space_group_name_H-M 'P 1'
_symmetry_Int_Tables_number 1
loop_
_symmetry_equiv_pos_as_xyz
'x,y,z'
loop_
_atom_site_label
_atom_site_type_symbol
_atom_site_fract_x
_atom_site_fract_y
_atom_site_fract_z
_atom_site_occupancy
Be1 Be 0.000 0.000 0.000 1
B1 B 0.390 0.390 0.996 1
Pd1 Pd 0.690 0.690 0.996 1
Au1 Au 0.266 0.266 0.496 1
```

Results
ΔE to the lowest computed polymorph	85	meV per atom
calculated total energy	-4.63	eV/atom
energy of formation	0.09	eV/atom

3.
DFT (PBE) results for a relaxed structure of Zr2AgSb.

Structure (CIF):
```
data_Zr2AgSb
_cell_length_a 4.991
_cell_length_b 4.991
_cell_length_c 4.991
_cell_angle_alpha 60.00
_cell_angle_beta 60.00
_cell_angle_gamma 60.00
_symmetry_space_group_name_H-M 'P 1'
_symmetry_Int_Tables_number 1
loop_
_symmetry_equiv_pos_as_xyz
'x,y,z'
loop_
_atom_site_label
_atom_site_type_symbol
_atom_site_fract_x
_atom_site_fract_y
_atom_site_fract_z
_atom_site_occupancy
Zr1 Zr 0.000 0.000 0.000 1
Zr2 Zr 0.250 0.250 0.250 1
Ag1 Ag 0.750 0.750 0.750 1
Sb1 Sb 0.500 0.500 0.500 1
```

Results
calculated total energy	-5.85	eV/atom
E_form (uncorrected)	3.837	kcal/mol of atoms

4.
DFT (PBE) results for a relaxed structure of CeMnGe.

Structure (CIF):
```
data_CeMnGe
_cell_length_a 4.033
_cell_length_b 4.033
_cell_length_c 7.252
_cell_angle_alpha 90.00
_cell_angle_beta 90.00
_cell_angle_gamma 90.00
_symmetry_space_group_name_H-M 'P 1'
_symmetry_Int_Tables_number 1
loop_
_symmetry_equiv_pos_as_xyz
'x,y,z'
loop_
_atom_site_label
_atom_site_type_symbol
_atom_site_fract_x
_atom_site_fract_y
_atom_site_fract_z
_atom_site_occupancy
Ce1 Ce 0.250 0.250 0.165 1
Ce2 Ce 0.750 0.750 0.835 1
Mn1 Mn 0.250 0.750 0.500 1
Mn2 Mn 0.750 0.250 0.500 1
Ge1 Ge 0.250 0.250 0.706 1
Ge2 Ge 0.750 0.750 0.294 1
```

Results
calculated total energy	-6.99	eV/atom
energy of formation	-0.41	eV/atom

| no. | DOS at the Fermi energy (states/eV/atom) | ρ (Mg/m³) | magnetization (μB per formula unit) |
| --- | --- | --- | --- |
| 1 | 0.872 | 5.96 | 1.0 |
| 2 | 0.312 | 9.80 | 0.0 |
| 3 | 1.309 | 7.78 | 1.2 |
| 4 | 1.427 | 7.54 | 3.1 |